Entry from Alexandria: a relaxed NiBiAsO5 crystal (GGA+U).

Properties
As for the total energy: -5.75 eV/atom. The volume comes out at 13.62 Å³ per atom.

a b c (Å): 5.327 6.817 6.934
angles (deg): 111.26 106.96 96.12
Space group P-1 (No. 2)
Unique sites:
Ni 0.167 0.134 0.262 [2 per cell]
Bi 0.400 0.734 0.963 [2 per cell]
As 0.159 0.687 0.390 [2 per cell]
O 0.083 0.416 0.203 [2 per cell]
O 0.132 0.262 0.569 [2 per cell]
O 0.230 0.003 0.953 [2 per cell]
O 0.269 0.849 0.274 [2 per cell]
O 0.420 0.725 0.627 [2 per cell]